(1)
Density functional theory data (PBE) for a relaxed structure of K4Tb3GeTe8.

a = 9.7508 Å, b = 9.7508 Å, c = 9.7508 Å
α = 54.58°, β = 54.58°, γ = 54.58°
Sites, in units of the cell vectors:
K1 0.0000 0.0000 0.0000
K2 0.0000 0.5000 0.5000
K3 0.5000 0.0000 0.5000
K4 0.5000 0.5000 0.0000
Tb1 0.0000 0.0000 0.5000
Tb2 0.0000 0.5000 0.0000
Tb3 0.5000 0.0000 0.0000
Ge1 0.5000 0.5000 0.5000
Te1 0.2372 0.2372 0.2372
Te2 0.2426 0.7301 0.7301
Te3 0.2699 0.2699 0.7574
Te4 0.2699 0.7574 0.2699
Te5 0.7301 0.2426 0.7301
Te6 0.7301 0.7301 0.2426
Te7 0.7574 0.2699 0.2699
Te8 0.7628 0.7628 0.7628

Space-group type: R-3m, No. 166
ΔE_f (raw) (eV/atom): -1.131
Magnetization (μB/f.u.): 0.00

=====

(2)
Density functional theory data (PBE) for a relaxed structure of K2TbGeTe4.

a = 9.2509 Å, b = 9.2509 Å, c = 9.2509 Å
α = 120.35°, β = 119.70°, γ = 89.95°
Sites, in units of the cell vectors:
K1 0.0000 0.0000 0.0000
K2 0.5000 0.0000 0.0000
K3 0.5000 0.0000 0.5000
K4 0.5000 0.5000 0.5000
Tb1 0.0000 0.0000 0.5000
Tb2 0.0000 0.5000 0.0000
Ge1 0.0000 0.5000 0.5000
Ge2 0.5000 0.5000 0.0000
Te1 0.2072 0.7321 0.4751
Te2 0.2356 0.2722 0.5366
Te3 0.2356 0.6990 0.9634
Te4 0.2430 0.2679 0.9751
Te5 0.7570 0.7321 0.0249
Te6 0.7644 0.3010 0.0366
Te7 0.7644 0.7278 0.4634
Te8 0.7928 0.2679 0.5249

Space-group type: Imma, No. 74
ΔE_f (raw) (eV/atom): -0.829
Magnetization (μB/f.u.): 0.00

=====

(3)
Density functional theory data (PBE) for a relaxed structure of KTcGe2.

a = 8.3569 Å, b = 8.3569 Å, c = 8.3569 Å
α = 137.56°, β = 137.56°, γ = 61.57°
Sites, in units of the cell vectors:
K1 0.3750 0.6250 0.7500
K2 0.6250 0.3750 0.2500
Tc1 0.1250 0.8750 0.2500
Tc2 0.8750 0.1250 0.7500
Ge1 0.0000 0.0000 0.0000
Ge2 0.0000 0.0000 0.5000
Ge3 0.0000 0.5000 0.0000
Ge4 0.5000 0.0000 0.5000

Space-group type: I4_1/amd, No. 141
Formation enthalpy at 0 K (eV per atom): 0.146
Energy above the most stable polymorph in this dataset (meV/atom): 193.7
Magnetization (μB/f.u.): 0.00

=====

(4)
Density functional theory data (PBE) for a relaxed structure of KTcGe.

a = 4.2164 Å, b = 4.2185 Å, c = 12.2283 Å
α = 80.73°, β = 80.36°, γ = 60.04°
Sites, in units of the cell vectors:
K1 0.0000 0.0000 0.0000
K2 0.4580 0.4754 0.6376
Tc1 0.2081 0.2169 0.3873
Tc2 0.5631 0.5692 0.3232
Ge1 0.2699 0.2792 0.1874
Ge2 0.8573 0.8678 0.4393

Space-group type: P1, No. 1
Formation enthalpy at 0 K (eV per atom): 0.107
Magnetization (μB/f.u.): 0.00

=====

(5)
Density functional theory data (PBE) for a relaxed structure of KTcGe2.

a = 3.2086 Å, b = 3.2086 Å, c = 7.9073 Å
α = 90.00°, β = 90.00°, γ = 90.00°
Sites, in units of the cell vectors:
K1 0.0000 0.0000 0.0000
Tc1 0.0000 0.0000 0.5000
Ge1 0.5000 0.5000 0.3246
Ge2 0.5000 0.5000 0.6754

Space-group type: P4/mmm, No. 123
Formation enthalpy at 0 K (eV per atom): -0.048
Energy above the most stable polymorph in this dataset (meV/atom): 0.0
Magnetization (μB/f.u.): 0.00

=====

(6)
Density functional theory data (PBE) for a relaxed structure of K3TcGe.

a = 6.4666 Å, b = 6.4666 Å, c = 6.4666 Å
α = 90.00°, β = 90.00°, γ = 90.00°
Sites, in units of the cell vectors:
K1 0.0000 0.0000 0.5000
K2 0.0000 0.5000 0.0000
K3 0.5000 0.0000 0.0000
Tc1 0.5000 0.5000 0.5000
Ge1 0.0000 0.0000 0.0000

Space-group type: Pm-3m, No. 221
Formation enthalpy at 0 K (eV per atom): 1.264
Energy above the most stable polymorph in this dataset (meV/atom): 0.0
Magnetization (μB/f.u.): 6.00

=====

(7)
Density functional theory data (PBE) for a relaxed structure of KTcGe2.

a = 4.7595 Å, b = 4.7595 Å, c = 4.7595 Å
α = 60.00°, β = 60.00°, γ = 60.00°
Sites, in units of the cell vectors:
K1 0.0000 0.0000 0.0000
Tc1 0.5000 0.5000 0.5000
Ge1 0.2500 0.2500 0.2500
Ge2 0.7500 0.7500 0.7500

Space-group type: Fm-3m, No. 225
Formation enthalpy at 0 K (eV per atom): 0.669
Energy above the most stable polymorph in this dataset (meV/atom): 716.9
Magnetization (μB/f.u.): 1.41

=====

(8)
Density functional theory data (PBE) for a relaxed structure of KTc2Ge.

a = 9.6413 Å, b = 9.6413 Å, c = 9.6413 Å
α = 151.34°, β = 151.34°, γ = 40.98°
Sites, in units of the cell vectors:
K1 0.3750 0.6250 0.7500
K2 0.6250 0.3750 0.2500
Tc1 0.0000 0.0000 0.0000
Tc2 0.0000 0.0000 0.5000
Tc3 0.0000 0.5000 0.0000
Tc4 0.5000 0.0000 0.5000
Ge1 0.1250 0.8750 0.2500
Ge2 0.8750 0.1250 0.7500

Space-group type: I4_1/amd, No. 141
Formation enthalpy at 0 K (eV per atom): 0.958
Magnetization (μB/f.u.): 1.03

=====

(9)
Density functional theory data (PBE) for a relaxed structure of KTc3Ge.

a = 4.7766 Å, b = 4.7766 Å, c = 4.7766 Å
α = 90.00°, β = 90.00°, γ = 90.00°
Sites, in units of the cell vectors:
K1 0.0000 0.0000 0.0000
Tc1 0.0000 0.5000 0.5000
Tc2 0.5000 0.0000 0.5000
Tc3 0.5000 0.5000 0.0000
Ge1 0.5000 0.5000 0.5000

Space-group type: Pm-3m, No. 221
Formation enthalpy at 0 K (eV per atom): 1.497
Energy above the most stable polymorph in this dataset (meV/atom): 0.0
Magnetization (μB/f.u.): 5.12

=====

(10)
Density functional theory data (PBE) for a relaxed structure of KTc3Ge.

a = 4.5978 Å, b = 4.5978 Å, c = 4.5978 Å
α = 90.00°, β = 90.00°, γ = 90.00°
Sites, in units of the cell vectors:
K1 0.0000 0.0000 0.0000
Tc1 0.0000 0.0000 0.5000
Tc2 0.0000 0.5000 0.0000
Tc3 0.5000 0.0000 0.0000
Ge1 0.5000 0.5000 0.5000

Space-group type: Pm-3m, No. 221
Formation enthalpy at 0 K (eV per atom): 3.062
Energy above the most stable polymorph in this dataset (meV/atom): 1564.6
Magnetization (μB/f.u.): 4.34

=====

(11)
Density functional theory data (PBE) for a relaxed structure of K2TcGe.

a = 9.4424 Å, b = 9.4424 Å, c = 9.4424 Å
α = 93.58°, β = 93.58°, γ = 151.04°
Sites, in units of the cell vectors:
K1 0.3750 0.1773 0.3023
K2 0.8227 0.1250 0.1977
K3 0.8750 0.0727 0.6977
K4 0.9273 0.6250 0.8023
Tc1 0.2500 0.7500 0.5000
Tc2 0.5000 0.5000 0.0000
Ge1 0.0000 0.0000 0.0000
Ge2 0.7500 0.2500 0.5000

Space-group type: I-42d, No. 122
Formation enthalpy at 0 K (eV per atom): 0.706
Magnetization (μB/f.u.): 2.06

=====

(12)
Density functional theory data (PBE) for a relaxed structure of KTcGe2.

a = 8.1258 Å, b = 8.1258 Å, c = 8.1258 Å
α = 29.83°, β = 29.83°, γ = 29.83°
Sites, in units of the cell vectors:
K1 0.0000 0.0000 0.0000
Tc1 0.5000 0.5000 0.5000
Ge1 0.1347 0.1347 0.1347
Ge2 0.8653 0.8653 0.8653

Space-group type: R-3m, No. 166
Formation enthalpy at 0 K (eV per atom): 0.319
Energy above the most stable polymorph in this dataset (meV/atom): 366.9
Magnetization (μB/f.u.): 0.00